No. 1
ScPt2Rh | GGA-PBE | optimized geometry

Electronic total energy ... -6.77 eV/atom
ΔE_f ... -0.324 eV/atom
Calculated volume ... 65 Å³/f.u.
DOS at the Fermi energy ... 10.14 states/eV per cell

Cell lengths 2.8977, 2.8977, 26.9460 Å; angles 90.00, 90.00, 120.00 degrees
Closest atoms and distances in Å follow each position.
Space group R-3m (No. 166, hexagonal axes)
Asymmetric unit:
Sc 0.0000 0.0000 0.0000  6 Pt 2.76, 6 Sc 2.90
Pt 0.0000 0.0000 0.2520  3 Sc 2.76, 3 Rh 2.84, 6 Pt 2.90
Rh 0.0000 0.0000 0.5000  6 Pt 2.84, 6 Rh 2.90



No. 2
Si3RuSe | GGA-PBE | optimized geometry

Electronic total energy ... -5.66 eV/atom
Calculated volume ... 99 Å³/f.u.
DOS at the Fermi energy ... 0.43 states/eV per cell
Polymorph energy (0 for the lowest one) ... 0.000 eV/atom
Formation energy from raw total energies ... 0.150 eV/atom

Cell lengths 4.6221, 4.6221, 4.6221 Å; angles 90.00, 90.00, 90.00 degrees
Closest atoms and distances in Å follow each position.
Space group Pm-3m (No. 221)
Asymmetric unit:
Si 0.0000 0.0000 0.5000  2 Ru 2.31
Ru 0.0000 0.0000 0.0000  6 Si 2.31
Se 0.5000 0.5000 0.5000  12 Si 3.27